DFT (PBEsol) results for a relaxed structure of LiFeIr2. Values from VASP.

Structure (Quantum ESPRESSO input):
```
&SYSTEM
  ibrav = 0, nat = 4, ntyp = 3
/
ATOMIC_SPECIES
Ir 192.22 Ir.upf
Li 6.94 Li.upf
Fe 55.84 Fe.upf
CELL_PARAMETERS angstrom
-2.542 1.434 2.142
1.570 -1.524 2.884
2.634 3.151 -2.042
ATOMIC_POSITIONS crystal
Ir 0.000 0.000 0.000
Ir 0.750 0.250 0.500
Li 0.500 0.500 0.000
Fe 0.250 0.750 0.500
```

DFT (PBEsol) results for a relaxed structure of Al2CoCu. Values from VASP.

Structure (Quantum ESPRESSO input):
```
&SYSTEM
  ibrav = 0, nat = 4, ntyp = 3
/
ATOMIC_SPECIES
Co 58.93 Co.upf
Al 26.98 Al.upf
Cu 63.55 Cu.upf
CELL_PARAMETERS angstrom
2.864 0.000 0.000
0.000 4.093 0.025
0.000 -0.026 4.093
ATOMIC_POSITIONS crystal
Co 0.500 0.000 0.000
Al 0.000 0.500 0.000
Al 0.000 0.000 0.500
Cu 0.500 0.500 0.500
```

Values of calculated total energy, in order: -7.614, -5.467, all in eV/atom.